Record 1
Density functional theory data (PBE) for crystalline V2Co4Ir at its relaxed geometry.

Output
The volume comes out at 85 Å³/cell. As for the formation energy: -0.0902 eV/atom. Its space group is Immm (71).

abc: 3.825 2.615 8.765
angles: 98.58 102.60 90.00
Each line ends with the local moment (μB).
Sites, in units of the cell vectors:
Ir  0.000  0.000  0.000  0.12
Co  0.269  0.769  0.539  1.31
Co  0.148  0.148  0.297  0.87
Co  0.731  0.231  0.461  1.31
Co  0.852  0.852  0.703  0.87
V  0.586  0.586  0.172  -0.50
V  0.414  0.414  0.828  -0.50

---

Record 2
Density functional theory data (PBE) for crystalline Ba2LaSnTe5 at its relaxed geometry.

Output
The volume comes out at 699 Å³/cell. The calculation puts the uncorrected formation energy at -1.2819 eV per atom. Its space group is Cmc2_1 (36).

abc: 4.846 10.485 14.131
angles: 90.00 90.00 103.36
Sites, in units of the cell vectors:
Te  0.712  0.423  0.168
Te  0.507  0.013  0.260
Te  0.635  0.270  0.501
Te  0.288  0.577  0.668
Te  0.318  0.637  0.364
Te  0.365  0.730  0.001
Te  0.049  0.099  0.066
Te  0.951  0.901  0.566
Te  0.682  0.363  0.864
Te  0.493  0.987  0.760
La  0.211  0.422  0.018
La  0.789  0.578  0.518
Sn  0.547  0.093  0.949
Sn  0.453  0.907  0.449
Ba  0.115  0.229  0.683
Ba  0.885  0.771  0.183
Ba  0.130  0.260  0.315
Ba  0.870  0.740  0.815

---

Record 3
Density functional theory data (PBE) for crystalline Na2NiPd at its relaxed geometry.

Output
The volume comes out at 72 Å³/cell. As for the formation energy: 0.4208 eV/atom. Its space group is Fm-3m (225).

abc: 4.667 4.667 4.667
angles: 60.00 60.00 60.00
Each line ends with the local moment (μB).
Sites, in units of the cell vectors:
Na  0.250  0.250  0.250  0.00
Na  0.750  0.750  0.750  0.00
Pd  0.500  0.500  0.500  0.01
Ni  0.000  0.000  0.000  0.13

---

no.,calculated total energy (eV per atom)
1,-8.0219
2,-4.4468
3,-2.9822